1.
This record from Alexandria describes MnSi4Ag after structural relaxation. The functional is PBE-GGA.

a = 5.0740 Å, b = 5.0740 Å, c = 5.0740 Å
α = 60.00°, β = 60.00°, γ = 60.00°
Last column: nearest neighbours and their distance in Å.
Fractional coordinates of all 6 atoms:
Mn (0.0000, 0.0000, 0.0000)  12 Si 2.97, 4 Ag 3.11
Si (0.1248, 0.6251, 0.6251)  6 Si 2.54
Si (0.6251, 0.1248, 0.6251)  6 Si 2.54
Si (0.6251, 0.6251, 0.1248)  6 Si 2.54
Si (0.6251, 0.6251, 0.6251)  6 Si 2.54
Ag (0.2500, 0.2500, 0.2500)  12 Si 2.98, 4 Mn 3.11

Formation energy (no corrections) in eV/atom: 0.44
SG: F-43m
Density of states at the Fermi level in states/eV/cell: 1.15
Final energy in eV per atom: -5.181

=====

2.
This record from Alexandria describes Pu2HfSc after structural relaxation. The functional is PBE-GGA.

a = 10.7746 Å, b = 10.7746 Å, c = 10.7746 Å
α = 17.33°, β = 17.33°, γ = 17.33°
Last column: nearest neighbours and their distance in Å.
Fractional coordinates of all 4 atoms:
Pu (0.2483, 0.2483, 0.2483)  3 Hf 3.20, 6 Pu 3.25, 3 Sc 3.29
Pu (0.7517, 0.7517, 0.7517)  3 Hf 3.20, 6 Pu 3.25, 3 Sc 3.29
Hf (0.5000, 0.5000, 0.5000)  6 Pu 3.20, 6 Hf 3.25
Sc (0.0000, 0.0000, 0.0000)  6 Sc 3.25, 6 Pu 3.29

Calculated formation energy in eV/atom: 0.15
Energy relative to the lowest polymorph listed for this composition in meV per atom: 11
SG: R-3m
Density of states at the Fermi level in states/eV/cell: 13.62
Final energy in eV per atom: -11.088

=====

3.
This record from Alexandria describes Tb4PrDyEr2 after structural relaxation. The functional is PBE-GGA.

a = 9.4947 Å, b = 9.4947 Å, c = 6.8009 Å
α = 110.98°, β = 110.98°, γ = 88.45°
Last column: nearest neighbours and their distance in Å.
Fractional coordinates of all 16 atoms:
Tb (0.2465, 0.2517, 0.4975)  3 Er 3.28-3.40, 1 Pr 3.35, 2 Tb 3.40, 2 Dy 3.41-3.42
Tb (0.2488, 0.7514, 0.5022)  3 Er 3.29-3.40, 1 Dy 3.33, 2 Tb 3.37-3.43, 2 Pr 3.41
Tb (0.2486, 0.7512, 0.9978)  3 Er 3.29-3.40, 1 Dy 3.33, 2 Tb 3.37-3.43, 2 Pr 3.41
Tb (0.2517, 0.2465, 0.9975)  3 Er 3.28-3.40, 1 Pr 3.35, 2 Tb 3.40, 2 Dy 3.41-3.42
Tb (0.7483, 0.7535, 0.0025)  3 Er 3.28-3.40, 1 Pr 3.35, 2 Tb 3.40, 2 Dy 3.41-3.42
Tb (0.7514, 0.2488, 0.0022)  3 Er 3.29-3.40, 1 Dy 3.33, 2 Tb 3.37-3.43, 2 Pr 3.41
Tb (0.7512, 0.2486, 0.4978)  3 Er 3.29-3.40, 1 Dy 3.33, 2 Tb 3.37-3.43, 2 Pr 3.41
Tb (0.7535, 0.7483, 0.5025)  3 Er 3.28-3.40, 1 Pr 3.35, 2 Tb 3.40, 2 Dy 3.41-3.42
Pr (0.0000, 0.5000, 0.0000)  6 Tb 3.35-3.41, 2 Er 3.40
Pr (0.5000, 0.0000, 0.5000)  6 Tb 3.35-3.41, 2 Er 3.40
Dy (0.5000, 0.5000, 0.0000)  6 Tb 3.33-3.42, 2 Dy 3.40
Dy (0.5000, 0.5000, 0.5000)  6 Tb 3.33-3.42, 2 Dy 3.40
Er (0.0000, 0.0000, 0.0000)  6 Tb 3.29-3.40, 2 Er 3.40
Er (0.0000, 0.0000, 0.5000)  6 Tb 3.29-3.40, 2 Er 3.40
Er (0.0000, 0.5000, 0.5000)  6 Tb 3.28-3.40, 2 Pr 3.40
Er (0.5000, 0.0000, 0.0000)  6 Tb 3.28-3.40, 2 Pr 3.40

Calculated formation energy in eV/atom: 0.43
SG: C2/c
Density of states at the Fermi level in states/eV/cell: 35.76
Final energy in eV per atom: -4.200

=====

4.
This record from Alexandria describes CaAc6Dy2 after structural relaxation. The functional is PBE-GGA.

a = 6.7156 Å, b = 6.7156 Å, c = 11.5242 Å
α = 90.00°, β = 90.00°, γ = 120.00°
Last column: nearest neighbours and their distance in Å.
Fractional coordinates of all 9 atoms:
Ca (0.0000, 0.0000, 0.0000)  6 Ac 3.72
Ac (0.0000, 0.3340, 0.2572)  2 Dy 3.58, 1 Ca 3.72, 6 Ac 3.87-3.89
Ac (0.0000, 0.6660, 0.7428)  2 Dy 3.58, 1 Ca 3.72, 6 Ac 3.87-3.89
Ac (0.3340, 0.0000, 0.2572)  2 Dy 3.58, 1 Ca 3.72, 6 Ac 3.87-3.89
Ac (0.3340, 0.3340, 0.7428)  2 Dy 3.58, 1 Ca 3.72, 6 Ac 3.87-3.89
Ac (0.6660, 0.0000, 0.7428)  2 Dy 3.58, 1 Ca 3.72, 6 Ac 3.87-3.89
Ac (0.6660, 0.6660, 0.2572)  2 Dy 3.58, 1 Ca 3.72, 6 Ac 3.87-3.89
Dy (0.3333, 0.6667, 0.5000)  6 Ac 3.58, 3 Dy 3.88
Dy (0.6667, 0.3333, 0.5000)  6 Ac 3.58, 3 Dy 3.88

Calculated formation energy in eV/atom: 0.49
SG: P-31m
Density of states at the Fermi level in states/eV/cell: 12.77
Final energy in eV per atom: -3.493

=====

5.
This record from Alexandria describes Th6As3PS2 after structural relaxation. The functional is PBE-GGA.

a = 7.2151 Å, b = 7.2151 Å, c = 7.2086 Å
α = 99.59°, β = 99.59°, γ = 119.88°
Last column: nearest neighbours and their distance in Å.
Fractional coordinates of all 12 atoms:
Th (0.0794, 0.4108, 0.2389)  1 P 2.89, 2 S 2.91, 3 As 2.98-3.00
Th (0.2514, 0.2514, 0.7607)  1 P 2.89, 2 S 2.91, 3 As 2.99-3.00
Th (0.4108, 0.0794, 0.2389)  1 P 2.89, 2 S 2.91, 3 As 2.98-3.00
Th (0.5892, 0.9206, 0.7611)  1 P 2.89, 2 S 2.91, 3 As 2.98-3.00
Th (0.7486, 0.7486, 0.2393)  1 P 2.89, 2 S 2.91, 3 As 2.99-3.00
Th (0.9206, 0.5892, 0.7611)  1 P 2.89, 2 S 2.91, 3 As 2.98-3.00
As (0.1671, 0.8329, 0.5000)  6 Th 2.98-3.00
As (0.5000, 0.5000, 0.5000)  6 Th 2.99-3.00
As (0.8329, 0.1671, 0.5000)  6 Th 2.98-3.00
P (0.0000, 0.0000, 0.0000)  6 Th 2.89
S (0.3335, 0.6665, 0.0000)  6 Th 2.91
S (0.6665, 0.3335, 0.0000)  6 Th 2.91

Formation energy (no corrections) in eV/atom: -1.58
SG: C2/m
Density of states at the Fermi level in states/eV/cell: 7.54
Final energy in eV per atom: -7.587

=====

6.
This record from Alexandria describes GaCu2Pb2 after structural relaxation. The functional is PBE-GGA.

a = 9.2144 Å, b = 9.2144 Å, c = 9.2144 Å
α = 158.08°, β = 158.08°, γ = 31.20°
Last column: nearest neighbours and their distance in Å.
Fractional coordinates of all 5 atoms:
Ga (0.0000, 0.0000, 0.0000)  8 Pb 3.25, 4 Ga 3.50
Cu (0.2500, 0.7500, 0.5000)  4 Cu 2.48
Cu (0.7500, 0.2500, 0.5000)  4 Cu 2.48
Pb (0.3819, 0.3819, 0.0000)  4 Cu 2.92, 4 Ga 3.25
Pb (0.6181, 0.6181, 0.0000)  4 Cu 2.92, 4 Ga 3.25

Calculated formation energy in eV/atom: 0.19
Energy relative to the lowest polymorph listed for this composition in meV per atom: 25
SG: I4/mmm
Density of states at the Fermi level in states/eV/cell: 1.92
Final energy in eV per atom: -3.538

=====

Total magnetization? In order: 3.8; 11.3; 2.7; 0.0; 0.0; 0.0 μB/f.u..